Here is a crystal of HgSbAu2 relaxed with PBEsol from Alexandria via LeMat-Bulk. Energies are from SCAN.

The structure in extended XYZ format:
```
4
Lattice="3.574 -1.875 0.000 3.574 1.875 0.000 -1.952 0.000 6.579" Properties=species:S:1:pos:R:3 pbc="T T T"
Hg 0.000 0.000 0.000
Sb 2.598 0.000 3.290
Au 0.317 0.000 4.917
Au 4.878 0.000 1.662
```

Properties
DOS(E_F) = 1.7 states/eV per cell
Total magnetic moment = 0.00 μB/f.u.
Final energy = -60.97 eV per atom
Energy above the most stable polymorph in this dataset = 0 meV/atom

***

Here is a crystal of BaZr2In relaxed with PBEsol from Alexandria via LeMat-Bulk. Energies are from SCAN.

The structure in extended XYZ format:
```
4
Lattice="-2.358 2.358 4.575 2.358 -2.358 4.575 2.358 2.358 -4.575" Properties=species:S:1:pos:R:3 pbc="T T T"
Ba 0.000 0.000 0.000
Zr 2.358 0.000 2.287
Zr 0.000 2.358 2.287
In 0.000 0.000 4.575
```

Properties
DOS(E_F) = 5.2 states/eV per cell
Total magnetic moment = 0.00 μB/f.u.
Energy relative to the elements = 0.340 eV/atom
Final energy = -33.24 eV per atom

***

Here is a crystal of CaIr relaxed with PBEsol from Alexandria via LeMat-Bulk. Energies are from SCAN.

The structure in extended XYZ format:
```
4
Lattice="1.519 0.877 10.072 -1.519 0.877 10.072 0.000 -1.755 10.072" Properties=species:S:1:pos:R:3 pbc="T T T"
Ca 0.000 0.000 3.313
Ca 0.000 0.000 26.904
Ir 0.000 0.000 11.084
Ir 0.000 0.000 19.133
```

Properties
DOS(E_F) = 2.3 states/eV per cell
Total magnetic moment = 0.01 μB/f.u.
Energy relative to the elements = 0.588 eV/atom
Final energy = -39.79 eV per atom

***

Here is a crystal of LiHf2Ag relaxed with PBEsol from Alexandria via LeMat-Bulk. Energies are from SCAN.

The structure in extended XYZ format:
```
4
Lattice="0.000 3.328 3.328 3.328 0.000 3.328 3.328 3.328 0.000" Properties=species:S:1:pos:R:3 pbc="T T T"
Li 0.000 0.000 0.000
Hf 1.664 1.664 1.664
Hf 4.992 4.992 4.992
Ag 3.328 3.328 3.328
```

Properties
DOS(E_F) = 3.1 states/eV per cell
Total magnetic moment = 1.54 μB/f.u.
Energy relative to the elements = 0.229 eV/atom
Final energy = -39.55 eV per atom

***

Here is a crystal of CaInMo2 relaxed with PBEsol from Alexandria via LeMat-Bulk. Energies are from SCAN.

The structure in extended XYZ format:
```
4
Lattice="4.222 -1.523 0.000 4.222 1.523 0.000 -0.734 0.000 6.603" Properties=species:S:1:pos:R:3 pbc="T T T"
Ca 0.000 0.000 0.000
In 1.556 0.000 4.500
Mo 3.894 0.000 2.925
Mo 6.250 0.000 2.015
```

Properties
DOS(E_F) = 2.8 states/eV per cell
Total magnetic moment = 0.00 μB/f.u.
Energy relative to the elements = 0.437 eV/atom
Final energy = -27.77 eV per atom

***

Here is a crystal of Na2SiBW relaxed with PBEsol from Alexandria via LeMat-Bulk. Energies are from SCAN.

The structure in extended XYZ format:
```
5
Lattice="5.659 0.000 0.000 0.000 5.659 0.000 0.000 0.000 3.611" Properties=species:S:1:pos:R:3 pbc="T T T"
Na 0.000 2.829 0.000
Na 2.829 0.000 0.000
Si 0.000 0.000 0.000
B 0.000 0.000 1.806
W 2.829 2.829 1.806
```

Properties
DOS(E_F) = 1.0 states/eV per cell
Total magnetic moment = 4.91 μB/f.u.
Final energy = -17.47 eV per atom

***

Here is a crystal of CdTcSe relaxed with PBEsol from Alexandria via LeMat-Bulk. Energies are from SCAN.

The structure in extended XYZ format:
```
3
Lattice="-1.519 1.519 5.877 1.519 -1.519 5.877 1.519 1.519 -5.877" Properties=species:S:1:pos:R:3 pbc="T T T"
Cd 0.000 0.000 0.000
Tc 0.000 0.000 3.932
Se 0.000 0.000 8.529
```

Properties
DOS(E_F) = 1.9 states/eV per cell
Total magnetic moment = 0.00 μB/f.u.
Final energy = -28.53 eV per atom

***

Here is a crystal of Fe2CuAs relaxed with PBEsol from Alexandria via LeMat-Bulk. Energies are from SCAN.

The structure in extended XYZ format:
```
4
Lattice="3.082 0.000 0.000 0.000 3.082 0.000 0.000 0.000 5.132" Properties=species:S:1:pos:R:3 pbc="T T T"
Fe 0.000 0.000 0.000
Fe 1.541 1.541 1.237
Cu 1.541 1.541 3.890
As 0.000 0.000 2.492
```

Properties
DOS(E_F) = 2.6 states/eV per cell
Total magnetic moment = 5.09 μB/f.u.
Energy relative to the elements = 0.044 eV/atom
Final energy = -17.87 eV per atom

***

Here is a crystal of AlZn relaxed with PBEsol from Alexandria via LeMat-Bulk. Energies are from SCAN.

The structure in extended XYZ format:
```
4
Lattice="2.747 0.000 0.000 -1.373 2.379 0.000 0.000 0.000 9.369" Properties=species:S:1:pos:R:3 pbc="T T T"
Al 0.000 1.586 1.242
Al 1.373 0.793 8.127
Zn 0.000 1.586 5.789
Zn 1.373 0.793 3.580
```

Properties
DOS(E_F) = 1.4 states/eV per cell
Total magnetic moment = 0.00 μB/f.u.
Energy relative to the elements = 0.039 eV/atom
Final energy = -10.59 eV per atom

***

Here is a crystal of Si2TcMo relaxed with PBEsol from Alexandria via LeMat-Bulk. Energies are from SCAN.

The structure in extended XYZ format:
```
4
Lattice="4.040 0.000 0.000 0.000 1.528 4.375 0.000 -1.528 4.375" Properties=species:S:1:pos:R:3 pbc="T T T"
Si 0.000 0.000 0.000
Si 2.020 0.000 1.544
Tc 2.020 0.000 3.965
Mo 0.000 0.000 6.349
```

Properties
DOS(E_F) = 1.5 states/eV per cell
Total magnetic moment = 0.00 μB/f.u.
Final energy = -22.91 eV per atom
Energy above the most stable polymorph in this dataset = 25 meV/atom

***

Here is a crystal of K2Na2NbW3O12 relaxed with PBEsol from Alexandria via LeMat-Bulk. Energies are from SCAN.

The structure in extended XYZ format:
```
20
Lattice="3.926 0.000 0.000 0.000 7.854 0.000 0.000 0.000 7.851" Properties=species:S:1:pos:R:3 pbc="T T T"
K 0.000 1.964 0.000
K 0.000 5.891 0.000
Na 0.000 1.940 3.949
Na 0.000 5.914 3.949
Nb 1.963 0.000 5.874
W 1.963 0.000 1.978
W 1.963 3.927 1.982
W 1.963 3.927 5.872
O 0.000 0.000 1.995
O 0.000 0.000 5.844
O 0.000 3.927 1.997
O 0.000 3.927 5.856
O 1.963 0.000 0.050
O 1.963 0.000 3.883
O 1.963 1.968 1.996
O 1.963 2.010 5.853
O 1.963 3.927 0.005
O 1.963 3.927 3.922
O 1.963 5.844 5.853
O 1.963 5.886 1.996
```

Properties
DOS(E_F) = 3.3 states/eV per cell
Total magnetic moment = 0.00 μB/f.u.
Final energy = -19.45 eV per atom

***

Here is a crystal of RbTaRu3 relaxed with PBEsol from Alexandria via LeMat-Bulk. Energies are from SCAN.

The structure in extended XYZ format:
```
5
Lattice="4.824 0.000 0.000 0.000 4.824 0.000 0.000 0.000 4.824" Properties=species:S:1:pos:R:3 pbc="T T T"
Rb 0.000 0.000 0.000
Ta 2.412 2.412 2.412
Ru 0.000 2.412 2.412
Ru 2.412 0.000 2.412
Ru 2.412 2.412 0.000
```

Properties
DOS(E_F) = 3.7 states/eV per cell
Total magnetic moment = 3.63 μB/f.u.
Energy relative to the elements = 1.423 eV/atom
Final energy = -36.94 eV per atom
Energy above the most stable polymorph in this dataset = 0 meV/atom

***

Here is a crystal of KCrSi relaxed with PBEsol from Alexandria via LeMat-Bulk. Energies are from SCAN.

The structure in extended XYZ format:
```
3
Lattice="0.000 3.357 3.357 3.357 0.000 3.357 3.357 3.357 0.000" Properties=species:S:1:pos:R:3 pbc="T T T"
K 0.000 0.000 0.000
Cr 3.357 3.357 3.357
Si 1.678 1.678 1.678
```

Properties
DOS(E_F) = 0.9 states/eV per cell
Total magnetic moment = 3.00 μB/f.u.
Final energy = -11.45 eV per atom
Energy above the most stable polymorph in this dataset = 0 meV/atom

***

Here is a crystal of MoAs2Ir relaxed with PBEsol from Alexandria via LeMat-Bulk. Energies are from SCAN.

The structure in extended XYZ format:
```
4
Lattice="2.956 0.000 0.000 0.000 4.149 0.000 0.000 0.000 5.111" Properties=species:S:1:pos:R:3 pbc="T T T"
Mo 0.000 0.000 0.000
As 0.000 2.075 2.555
As 1.478 2.075 0.000
Ir 1.478 0.000 2.555
```

Properties
DOS(E_F) = 2.7 states/eV per cell
Total magnetic moment = 0.00 μB/f.u.
Energy relative to the elements = 0.359 eV/atom
Final energy = -36.23 eV per atom
Energy above the most stable polymorph in this dataset = 270 meV/atom

***

Here is a crystal of BaNiIr2 relaxed with PBEsol from Alexandria via LeMat-Bulk. Energies are from SCAN.

The structure in extended XYZ format:
```
4
Lattice="2.756 -4.477 0.000 2.756 4.477 0.000 0.000 0.000 2.896" Properties=species:S:1:pos:R:3 pbc="T T T"
Ba 0.000 0.000 0.000
Ni 2.756 0.000 0.000
Ir 1.378 2.238 1.448
Ir 1.378 -2.238 1.448
```

Properties
DOS(E_F) = 3.8 states/eV per cell
Total magnetic moment = 1.36 μB/f.u.
Energy relative to the elements = 1.004 eV/atom
Final energy = -48.48 eV per atom

***

Here is a crystal of YP2Au relaxed with PBEsol from Alexandria via LeMat-Bulk. Energies are from SCAN.

The structure in extended XYZ format:
```
8
Lattice="-2.133 2.133 8.817 2.133 -2.133 8.817 2.133 2.133 -8.817" Properties=species:S:1:pos:R:3 pbc="T T T"
Y 0.000 0.000 0.000
Y 0.000 2.133 4.409
P 1.067 -0.528 6.613
P 1.605 1.067 2.204
P 1.067 2.662 -2.204
P 0.528 1.067 11.021
Au 2.133 0.000 4.409
Au 0.000 0.000 8.817
```

Properties
DOS(E_F) = 4.1 states/eV per cell
Total magnetic moment = 0.00 μB/f.u.
Energy relative to the elements = -0.515 eV/atom
Final energy = -29.96 eV per atom
Energy above the most stable polymorph in this dataset = 43 meV/atom

***

Here is a crystal of CrCo2BAu relaxed with PBEsol from Alexandria via LeMat-Bulk. Energies are from SCAN.

The structure in extended XYZ format:
```
5
Lattice="4.561 0.000 0.000 0.000 4.561 0.000 0.000 0.000 4.843" Properties=species:S:1:pos:R:3 pbc="T T T"
Cr 0.000 0.000 0.000
Co 0.000 2.280 2.421
Co 2.280 0.000 2.421
B 2.280 2.280 0.000
Au 0.000 0.000 2.421
```

Properties
DOS(E_F) = 4.6 states/eV per cell
Total magnetic moment = 8.94 μB/f.u.
Energy relative to the elements = 1.989 eV/atom
Final energy = -23.93 eV per atom

***

Here is a crystal of TiReP3O12 relaxed with PBEsol from Alexandria via LeMat-Bulk. Energies are from SCAN.

The structure in extended XYZ format:
```
34
Lattice="4.299 2.482 7.247 -4.299 2.482 7.247 0.000 -4.964 7.247" Properties=species:S:1:pos:R:3 pbc="T T T"
Ti 0.000 0.000 0.000
Ti 0.000 0.000 10.871
Re 0.000 0.000 6.129
Re 0.000 0.000 17.000
P -1.215 -2.111 8.498
P -3.078 -0.374 12.122
P -1.221 2.108 8.498
P 1.863 -2.479 12.122
P 2.436 0.003 8.498
P 1.215 2.853 12.122
O -3.715 -0.983 10.844
O -1.545 0.233 4.985
O -0.606 -3.494 8.315
O -1.006 -1.255 7.221
O -3.365 -1.217 13.348
O 0.570 -1.454 4.985
O -2.723 2.272 8.315
O -0.629 -1.441 9.725
O -1.576 -0.210 11.938
O -0.584 1.499 7.221
O -0.934 1.265 9.725
O 0.974 1.221 4.985
O 1.590 -0.244 7.221
O -0.570 -1.454 15.856
O 0.970 -1.260 11.938
O 2.709 -2.726 10.844
O 1.563 0.176 9.725
O -0.974 1.221 15.856
O 0.606 1.470 11.938
O 2.736 -2.306 13.348
O 3.329 1.222 8.315
O 1.006 3.709 10.844
O 0.629 3.523 13.348
O 1.545 0.233 15.856
```

Properties
DOS(E_F) = 8.3 states/eV per cell
Total magnetic moment = 2.00 μB/f.u.
Final energy = -13.75 eV per atom

***

Here is a crystal of Mg2TlRu relaxed with PBEsol from Alexandria via LeMat-Bulk. Energies are from SCAN.

The structure in extended XYZ format:
```
4
Lattice="4.148 0.000 0.000 0.000 4.148 0.000 0.000 0.000 4.074" Properties=species:S:1:pos:R:3 pbc="T T T"
Mg 0.000 2.074 0.000
Mg 2.074 0.000 0.000
Tl 0.000 0.000 2.037
Ru 2.074 2.074 2.037
```

Properties
DOS(E_F) = 1.9 states/eV per cell
Total magnetic moment = 0.00 μB/f.u.
Energy relative to the elements = 0.011 eV/atom
Final energy = -29.27 eV per atom
Energy above the most stable polymorph in this dataset = 57 meV/atom

***

Here is a crystal of LiAl2Se relaxed with PBEsol from Alexandria via LeMat-Bulk. Energies are from SCAN.

The structure in extended XYZ format:
```
4
Lattice="3.518 0.000 0.000 0.000 5.075 0.000 -0.152 0.000 4.115" Properties=species:S:1:pos:R:3 pbc="T T T"
Li 0.000 0.000 0.000
Al 0.806 2.537 3.057
Al 2.560 2.537 1.058
Se 1.683 0.000 2.058
```

Properties
DOS(E_F) = 1.1 states/eV per cell
Total magnetic moment = 0.00 μB/f.u.
Final energy = -9.74 eV per atom

***

no.,volume (Å³ per atom)
1,22.0
2,25.4
3,20.1
4,18.4
5,21.2
6,23.1
7,18.1
8,12.2
9,15.3
10,13.5
11,12.1
12,22.4
13,25.2
14,15.7
15,17.9
16,20.1
17,20.1
18,13.6
19,17.5
20,18.4